## TiOsRh (GGA-PBE)

Data for TiOsRh after structural relaxation.

Output
**Calculated formation energy**: -59 kJ/mol of formula units
**Size of the total moment**: 0.0 μB/f.u.
**Space group**: C2/m

abc: 5.159 5.159 5.533
angles: 123.45 123.45 49.49
Positions (direct):
Rh  0.332  0.332  0.215
Rh  0.668  0.668  0.785
Ti  0.003  0.003  0.256
Ti  0.997  0.997  0.744
Os  0.659  0.659  0.266
Os  0.341  0.341  0.734

=====

## Ti6Os5Rh (GGA-PBE)

Data for Ti6Os5Rh after structural relaxation.

Output
**Calculated formation energy**: -824 kJ/mol of formula units
**Size of the total moment**: 0.0 μB/f.u.
**Space group**: Immm

abc: 4.376 6.197 7.572
angles: 114.15 106.80 90.00
Positions (direct):
Ti  0.500  0.253  0.000
Ti  0.832  0.581  0.665
Ti  0.168  0.916  0.335
Ti  0.832  0.084  0.665
Ti  0.500  0.747  0.000
Ti  0.168  0.419  0.335
Os  0.333  0.333  0.667
Os  0.334  0.834  0.668
Os  0.667  0.667  0.333
Os  0.000  0.500  0.000
Os  0.666  0.166  0.332
Rh  0.000  0.000  0.000

=====

## TiOsRh2 (GGA-PBE)

Data for TiOsRh2 after structural relaxation.

Output
**Calculated formation energy**: 0 kJ/mol of formula units
**Relative energy among the computed polymorphs**: 428 meV/atom
**Size of the total moment**: 1.7 μB/f.u.
**Space group**: Fm-3m

abc: 4.387 4.387 4.387
angles: 60.00 60.00 60.00
Last column: magnetic moment on the atom in μB.
Positions (direct):
Ti  0.000  0.000  0.000  0.02
Rh  0.250  0.250  0.250  0.38
Rh  0.750  0.750  0.750  0.38
Os  0.500  0.500  0.500  0.83

=====

## TiOsRh3 (GGA-PBE)

Data for TiOsRh3 after structural relaxation.

Output
**Calculated formation energy**: 592 kJ/mol of formula units
**Relative energy among the computed polymorphs**: 77 meV/atom
**Size of the total moment**: 0.0 μB/f.u.
**Space group**: Pm-3m

abc: 4.673 4.673 4.673
angles: 90.00 90.00 90.00
Positions (direct):
Rh  0.000  0.500  0.000
Rh  0.000  0.000  0.500
Rh  0.500  0.000  0.000
Ti  0.500  0.500  0.500
Os  0.000  0.000  0.000

=====

## TiOs2Rh (GGA-PBE)

Data for TiOs2Rh after structural relaxation.

Output
**Calculated formation energy**: 35 kJ/mol of formula units
**Relative energy among the computed polymorphs**: 370 meV/atom
**Size of the total moment**: 0.0 μB/f.u.
**Space group**: Fm-3m

abc: 4.370 4.370 4.370
angles: 60.00 60.00 60.00
Positions (direct):
Os  0.250  0.250  0.250
Os  0.750  0.750  0.750
Rh  0.500  0.500  0.500
Ti  0.000  0.000  0.000

=====

## Ti2OsRh (GGA-PBE)

Data for Ti2OsRh after structural relaxation.

Output
**Calculated formation energy**: -23 kJ/mol of formula units
**Size of the total moment**: 0.0 μB/f.u.
**Space group**: I-42d

abc: 6.779 6.779 5.559
angles: 52.43 52.43 90.00
Positions (direct):
Os  0.750  0.250  0.500
Os  0.000  0.000  0.000
Ti  0.875  0.875  0.750
Ti  0.375  0.375  0.750
Ti  0.125  0.625  0.250
Ti  0.625  0.125  0.250
Rh  0.250  0.750  0.500
Rh  0.500  0.500  0.000

=====

## TiOs2Rh (GGA-PBE)

Data for TiOs2Rh after structural relaxation.

Output
**Calculated formation energy**: -108 kJ/mol of formula units
**Relative energy among the computed polymorphs**: 0 meV/atom
**Size of the total moment**: 0.0 μB/f.u.
**Space group**: P4/mmm

abc: 3.978 3.822 3.822
angles: 90.00 90.00 90.00
Positions (direct):
Os  0.000  0.500  0.000
Os  0.000  0.000  0.500
Ti  0.500  0.500  0.500
Rh  0.500  0.000  0.000

=====

## Ti2OsRh (GGA-PBE)

Data for Ti2OsRh after structural relaxation.

Output
**Calculated formation energy**: -280 kJ/mol of formula units
**Size of the total moment**: 0.0 μB/f.u.
**Space group**: P4/mmm

abc: 3.114 3.114 6.135
angles: 90.00 90.00 90.00
Positions (direct):
Os  0.500  0.500  0.000
Ti  0.000  0.000  0.248
Ti  0.000  0.000  0.752
Rh  0.500  0.500  0.500

=====

## TiOs3Rh (GGA-PBE)

Data for TiOs3Rh after structural relaxation.

Output
**Calculated formation energy**: 1033 kJ/mol of formula units
**Size of the total moment**: 0.0 μB/f.u.
**Space group**: Pm-3m

abc: 4.633 4.633 4.633
angles: 90.00 90.00 90.00
Positions (direct):
Os  0.000  0.500  0.000
Os  0.000  0.000  0.500
Os  0.500  0.000  0.000
Rh  0.000  0.000  0.000
Ti  0.500  0.500  0.500

=====

## Ti5Os4Rh (GGA-PBE)

Data for Ti5Os4Rh after structural relaxation.

Output
**Calculated formation energy**: -694 kJ/mol of formula units
**Size of the total moment**: 0.0 μB/f.u.
**Space group**: P4/mmm

abc: 3.101 3.101 15.400
angles: 90.00 90.00 90.00
Positions (direct):
Os  0.000  0.000  0.199
Os  0.000  0.000  0.600
Os  0.000  0.000  0.400
Os  0.000  0.000  0.801
Ti  0.500  0.500  0.300
Ti  0.500  0.500  0.700
Ti  0.500  0.500  0.899
Ti  0.500  0.500  0.101
Ti  0.500  0.500  0.500
Rh  0.000  0.000  0.000

=====

## Ti2TlOsRh (GGA-PBE)

Data for Ti2TlOsRh after structural relaxation.

Output
**Calculated formation energy**: 487 kJ/mol of formula units
**Size of the total moment**: 0.0 μB/f.u.
**Space group**: P4/mmm

abc: 4.587 4.959 4.587
angles: 90.00 90.00 90.00
Positions (direct):
Tl  0.000  0.500  0.000
Ti  0.000  0.000  0.500
Ti  0.500  0.000  0.000
Os  0.500  0.500  0.500
Rh  0.000  0.000  0.000

=====

## TiOs2RhW (GGA-PBE)

Data for TiOs2RhW after structural relaxation.

Output
**Calculated formation energy**: 770 kJ/mol of formula units
**Size of the total moment**: 0.0 μB/f.u.
**Space group**: P4/mmm

abc: 4.701 4.701 4.643
angles: 90.00 90.00 90.00
Positions (direct):
Rh  0.000  0.000  0.500
Ti  0.500  0.500  0.500
Os  0.000  0.500  0.000
Os  0.500  0.000  0.000
W  0.000  0.000  0.000

=====

## TiZn2OsRh (GGA-PBE)

Data for TiZn2OsRh after structural relaxation.

Output
**Calculated formation energy**: 464 kJ/mol of formula units
**Size of the total moment**: 0.9 μB/f.u.
**Space group**: P4/mmm

abc: 4.579 4.505 4.579
angles: 90.00 90.00 90.00
Last column: magnetic moment on the atom in μB.
Positions (direct):
Zn  0.000  0.000  0.500  -0.01
Zn  0.500  0.000  0.000  0.00
Os  0.500  0.500  0.500  1.11
Rh  0.000  0.000  0.000  0.01
Ti  0.000  0.500  0.000  -0.22

=====

## TlOs2Rh (GGA-PBE)

Data for TlOs2Rh after structural relaxation.

Output
**Calculated formation energy**: 294 kJ/mol of formula units
**Relative energy among the computed polymorphs**: 362 meV/atom
**Size of the total moment**: 0.0 μB/f.u.
**Space group**: I4/mmm

abc: 4.969 4.969 4.969
angles: 133.19 133.19 68.36
Positions (direct):
Os  0.750  0.250  0.500
Os  0.250  0.750  0.500
Tl  0.000  0.000  0.000
Rh  0.500  0.500  0.000

=====

## TlOsRh (GGA-PBE)

Data for TlOsRh after structural relaxation.

Output
**Calculated formation energy**: 172 kJ/mol of formula units
**Relative energy among the computed polymorphs**: 89 meV/atom
**Size of the total moment**: 0.0 μB/f.u.
**Space group**: P3m1

abc: 2.935 2.935 6.875
angles: 90.00 90.00 120.00
Positions (direct):
Rh  0.667  0.333  0.313
Tl  0.333  0.667  0.662
Os  0.000  0.000  0.024

=====

## TlOs2Rh (GGA-PBE)

Data for TlOs2Rh after structural relaxation.

Output
**Calculated formation energy**: 234 kJ/mol of formula units
**Relative energy among the computed polymorphs**: 207 meV/atom
**Size of the total moment**: 0.0 μB/f.u.
**Space group**: Cm

abc: 4.802 4.802 5.036
angles: 80.97 80.97 34.62
Positions (direct):
Tl  0.249  0.249  0.269
Rh  0.493  0.493  0.504
Os  0.010  0.010  0.949
Os  0.749  0.749  0.778

=====

## TlOs2Rh (GGA-PBE)

Data for TlOs2Rh after structural relaxation.

Output
**Calculated formation energy**: 294 kJ/mol of formula units
**Relative energy among the computed polymorphs**: 362 meV/atom
**Size of the total moment**: 0.0 μB/f.u.
**Space group**: Pmmm

abc: 2.788 3.888 6.113
angles: 90.00 90.00 90.00
Positions (direct):
Os  0.000  0.000  0.790
Os  0.000  0.000  0.210
Rh  0.500  0.500  0.000
Tl  0.500  0.500  0.500

=====

## TlOs2Rh (GGA-PBE)

Data for TlOs2Rh after structural relaxation.

Output
**Calculated formation energy**: 339 kJ/mol of formula units
**Relative energy among the computed polymorphs**: 480 meV/atom
**Size of the total moment**: 1.9 μB/f.u.
**Space group**: F-43m

abc: 4.523 4.523 4.523
angles: 60.00 60.00 60.00
Last column: magnetic moment on the atom in μB.
Positions (direct):
Os  0.750  0.750  0.750  0.97
Os  0.000  0.000  0.000  0.44
Rh  0.500  0.500  0.500  0.46
Tl  0.250  0.250  0.250  0.01

=====

## TlOsRh (GGA-PBE)

Data for TlOsRh after structural relaxation.

Output
**Calculated formation energy**: 255 kJ/mol of formula units
**Relative energy among the computed polymorphs**: 374 meV/atom
**Size of the total moment**: 0.0 μB/f.u.
**Space group**: F-43m

abc: 4.353 4.353 4.353
angles: 60.00 60.00 60.00
Positions (direct):
Os  0.500  0.500  0.500
Rh  0.250  0.250  0.250
Tl  0.000  0.000  0.000

=====

## TlOs2Rh (GGA-PBE)

Data for TlOs2Rh after structural relaxation.

Output
**Calculated formation energy**: 315 kJ/mol of formula units
**Relative energy among the computed polymorphs**: 416 meV/atom
**Size of the total moment**: 0.0 μB/f.u.
**Space group**: P4/mmm

abc: 3.818 3.818 4.446
angles: 90.00 90.00 90.00
Positions (direct):
Os  0.500  0.000  0.000
Os  0.000  0.500  0.000
Rh  0.500  0.500  0.500
Tl  0.000  0.000  0.500

=====

## TlOs2Rh (GGA-PBE)

Data for TlOs2Rh after structural relaxation.

Output
**Calculated formation energy**: 315 kJ/mol of formula units
**Relative energy among the computed polymorphs**: 418 meV/atom
**Size of the total moment**: 1.1 μB/f.u.
**Space group**: Pmmm

abc: 2.886 4.657 4.854
angles: 90.00 90.00 90.00
Last column: magnetic moment on the atom in μB.
Positions (direct):
Tl  0.000  0.500  0.500  0.01
Os  0.000  0.000  0.000  0.42
Os  0.500  0.500  0.000  0.40
Rh  0.500  0.000  0.500  0.18

=====

## TlOs2Rh (GGA-PBE)

Data for TlOs2Rh after structural relaxation.

Output
**Calculated formation energy**: 365 kJ/mol of formula units
**Relative energy among the computed polymorphs**: 546 meV/atom
**Size of the total moment**: 0.0 μB/f.u.
**Space group**: Fm-3m

abc: 4.503 4.503 4.503
angles: 60.00 60.00 60.00
Positions (direct):
Os  0.250  0.250  0.250
Os  0.750  0.750  0.750
Rh  0.000  0.000  0.000
Tl  0.500  0.500  0.500

=====

## TlOs2Rh (GGA-PBE)

Data for TlOs2Rh after structural relaxation.

Output
**Calculated formation energy**: 302 kJ/mol of formula units
**Relative energy among the computed polymorphs**: 385 meV/atom
**Size of the total moment**: 0.0 μB/f.u.
**Space group**: P4/mmm

abc: 2.856 2.856 7.953
angles: 90.00 90.00 90.00
Positions (direct):
Os  0.000  0.000  0.775
Os  0.000  0.000  0.225
Rh  0.500  0.500  0.000
Tl  0.500  0.500  0.500

=====

## TlOs2Rh (GGA-PBE)

Data for TlOs2Rh after structural relaxation.

Output
**Calculated formation energy**: 210 kJ/mol of formula units
**Relative energy among the computed polymorphs**: 144 meV/atom
**Size of the total moment**: 0.0 μB/f.u.
**Space group**: R3m

abc: 9.334 9.334 9.334
angles: 17.65 17.65 17.65
Positions (direct):
Tl  0.248  0.248  0.248
Rh  0.495  0.495  0.495
Os  0.749  0.749  0.749
Os  0.008  0.008  0.008

=====

## TlOs2Rh (GGA-PBE)

Data for TlOs2Rh after structural relaxation.

Output
**Calculated formation energy**: 191 kJ/mol of formula units
**Relative energy among the computed polymorphs**: 97 meV/atom
**Size of the total moment**: 0.0 μB/f.u.
**Space group**: Pmm2

abc: 3.778 2.847 6.099
angles: 89.97 90.00 90.00
Positions (direct):
Os  0.000  0.000  0.045
Os  0.500  0.500  0.233
Tl  0.500  0.500  0.740
Rh  0.000  0.000  0.483

=====

## TlOs2Rh (GGA-PBE)

Data for TlOs2Rh after structural relaxation.

Output
**Calculated formation energy**: 271 kJ/mol of formula units
**Relative energy among the computed polymorphs**: 302 meV/atom
**Size of the total moment**: 0.6 μB/f.u.
**Space group**: I-4m2

abc: 4.831 4.831 4.831
angles: 130.35 130.35 72.85
Last column: magnetic moment on the atom in μB.
Positions (direct):
Os  0.000  0.000  0.000  0.11
Os  0.250  0.750  0.500  0.38
Rh  0.500  0.500  0.000  0.05
Tl  0.750  0.250  0.500  0.01

=====

## TlOsRh (GGA-PBE)

Data for TlOsRh after structural relaxation.

Output
**Calculated formation energy**: 146 kJ/mol of formula units
**Relative energy among the computed polymorphs**: 0 meV/atom
**Size of the total moment**: 0.0 μB/f.u.
**Space group**: I4mm

abc: 6.380 6.380 6.380
angles: 153.57 153.57 37.72
Positions (direct):
Os  0.983  0.983  0.000
Rh  0.350  0.350  0.000
Tl  0.667  0.667  0.000

=====

## TlOs2Rh (GGA-PBE)

Data for TlOs2Rh after structural relaxation.

Output
**Calculated formation energy**: 372 kJ/mol of formula units
**Relative energy among the computed polymorphs**: 564 meV/atom
**Size of the total moment**: 0.0 μB/f.u.
**Space group**: Cmmm

abc: 2.794 2.794 10.045
angles: 90.00 90.00 120.12
Positions (direct):
Os  0.000  0.000  0.725
Os  0.000  0.000  0.275
Tl  0.500  0.500  0.000
Rh  0.500  0.500  0.500

=====

## TlOs2Rh (GGA-PBE)

Data for TlOs2Rh after structural relaxation.

Output
**Calculated formation energy**: 288 kJ/mol of formula units
**Relative energy among the computed polymorphs**: 346 meV/atom
**Size of the total moment**: 0.0 μB/f.u.
**Space group**: R-3m

abc: 9.453 9.453 9.453
angles: 17.31 17.31 17.31
Positions (direct):
Os  0.757  0.757  0.757
Os  0.243  0.243  0.243
Tl  0.000  0.000  0.000
Rh  0.500  0.500  0.500